The following is a meta-GGA SCAN calculation of a crystal of Ta3MnCd relaxed with PBEsol, from Alexandria via LeMat-Bulk.

VASP energy   -48.913 eV/atom
M_tot   0.0 Bohr magnetons per cell

extended XYZ file:
```
5
Lattice="4.5593 0.0000 0.0000 0.0000 4.5593 0.0000 0.0000 0.0000 4.5593" Properties=species:S:1:pos:R:3 pbc="T T T"
Ta 0.0000 0.0000 2.2796
Ta 0.0000 2.2796 0.0000
Ta 2.2796 0.0000 0.0000
Mn 0.0000 0.0000 0.0000
Cd 2.2796 2.2796 2.2796
```